Ti3Ge2C: optimized geometry, PBE.

The value obtained for the volume is 88.8 Å³/f.u. For the calculated formation energy, the calculation gives -0.49 eV per atom.

Lattice parameters (Å, degrees): 5.633 5.901 5.901 107.98 100.37 100.37
Sites, in units of the cell vectors:
Ge (0.750, 0.794, 0.206)
Ge (0.750, 0.060, 0.940)
Ge (0.250, 0.206, 0.794)
Ge (0.250, 0.940, 0.060)
Ti (0.000, 0.500, 0.000)
Ti (0.507, 0.412, 0.257)
Ti (0.500, 0.000, 0.500)
Ti (0.493, 0.588, 0.743)
Ti (0.993, 0.743, 0.588)
Ti (0.007, 0.257, 0.412)
C (0.250, 0.587, 0.413)
C (0.750, 0.413, 0.587)



ScPa2PN6: optimized geometry, PBE.

The value obtained for the volume is 126.6 Å³/f.u. The formation energy (no corrections) is -1079 meV per atom.

Lattice parameters (Å, degrees): 4.674 5.205 5.205 90.00 90.00 90.00
Sites, in units of the cell vectors:
N (0.720, 0.227, 0.773)
N (0.720, 0.773, 0.227)
N (0.720, 0.227, 0.227)
N (0.241, 0.000, 0.000)
N (0.720, 0.773, 0.773)
N (0.134, 0.500, 0.500)
Pa (0.009, 0.000, 0.500)
Pa (0.009, 0.500, 0.000)
P (0.597, 0.000, 0.000)
Sc (0.576, 0.500, 0.500)



PaP2Ru2Rh: optimized geometry, PBE.

The value obtained for the volume is 105.3 Å³/f.u. For the calculated formation energy, the calculation gives 0.00 eV per atom.

Lattice parameters (Å, degrees): 4.498 4.498 5.205 90.00 90.00 90.00
Sites, in units of the cell vectors:
Rh (0.000, 0.000, 0.000)
Ru (0.500, 0.500, 0.258)
Ru (0.500, 0.500, 0.742)
Pa (0.000, 0.000, 0.500)
P (0.000, 0.500, 0.000)
P (0.500, 0.000, 0.000)



ZrIn3Ge: optimized geometry, PBE.

The value obtained for the volume is 171.8 Å³/f.u. The polymorph energy (0 for the lowest one) comes out at 47 meV/atom. For the calculated formation energy, the calculation gives 0.77 eV per atom.

Lattice parameters (Å, degrees): 5.559 5.559 5.559 90.00 90.00 90.00
Sites, in units of the cell vectors:
Zr (0.000, 0.000, 0.000)
In (0.500, 0.000, 0.000)
In (0.000, 0.000, 0.500)
In (0.000, 0.500, 0.000)
Ge (0.500, 0.500, 0.500)



Cr2AgCl: optimized geometry, PBE.

The value obtained for the volume is 90.2 Å³/f.u. The polymorph energy (0 for the lowest one) comes out at 245 meV/atom. The formation energy (no corrections) is 415 meV per atom.

Lattice parameters (Å, degrees): 4.704 4.704 8.126 55.74 55.74 38.66
Site moments in Bohr magnetons follow the coordinates.
Sites, in units of the cell vectors:
Cl (0.250, 0.250, 0.250)  -0.01
Cr (0.921, 0.921, 0.942)  3.77
Cr (0.579, 0.579, 0.558)  3.77
Ag (0.750, 0.750, 0.750)  0.09



CsNaTlPd: optimized geometry, PBE.

The value obtained for the volume is 148.2 Å³/f.u. For the calculated formation energy, the calculation gives -0.10 eV per atom.

Lattice parameters (Å, degrees): 4.855 4.855 7.769 90.13 108.19 119.79
Sites, in units of the cell vectors:
Pd (0.466, 0.598, 0.064)
Na (0.017, 0.873, 0.889)
Cs (0.394, 0.061, 0.455)
Tl (0.816, 0.273, 0.088)



Mg2InBi: optimized geometry, PBE.

The value obtained for the volume is 101.9 Å³/f.u. The polymorph energy (0 for the lowest one) comes out at 28 meV/atom. For the calculated formation energy, the calculation gives -0.07 eV per atom.

Lattice parameters (Å, degrees): 3.826 3.826 6.959 90.00 90.00 90.00
Sites, in units of the cell vectors:
Mg (0.000, 0.000, 0.241)
Mg (0.000, 0.000, 0.759)
Bi (0.500, 0.500, 0.500)
In (0.500, 0.500, 0.000)